1.
Entry from OQMD via LeMat-Bulk: a relaxed structure of DyAgTePbS2 (PBE).

Output
crystal system: orthorhombic
calculated total energy: -4.6508 eV/atom
M_tot: 0.0 μB per cell

CIF file:
```
data_DyAgTePbS2
_space_group_name_H-M_alt 'C m c m'
_space_group_IT_number 63
_space_group_name_Hall '-C 2c 2'
_cell_length_a 4.083
_cell_length_b 14.110
_cell_length_c 11.172
_cell_angle_alpha 90.00
_cell_angle_beta 90.00
_cell_angle_gamma 90.00
loop_
_atom_site_label
_atom_site_type_symbol
_atom_site_fract_x
_atom_site_fract_y
_atom_site_fract_z
Dy1 Dy 0.000 0.000 0.000
Ag1 Ag 0.000 0.479 0.250
Te1 Te 0.000 0.114 0.250
Pb1 Pb 0.000 0.208 0.750
S1 S 0.000 0.377 0.065
```

---

2.
Entry from OQMD via LeMat-Bulk: a relaxed structure of Sc2CuPd (PBE).

Output
crystal system: cubic
calculated total energy: -5.7749 eV/atom
M_tot: 0.0 μB per cell
formation enthalpy at 0 K: -388 meV per atom

CIF file:
```
data_Sc2CuPd
_space_group_name_H-M_alt 'F -4 3 m'
_space_group_IT_number 216
_space_group_name_Hall 'F -4 2 3'
_cell_length_a 6.436
_cell_length_b 6.436
_cell_length_c 6.436
_cell_angle_alpha 90.00
_cell_angle_beta 90.00
_cell_angle_gamma 90.00
loop_
_atom_site_label
_atom_site_type_symbol
_atom_site_fract_x
_atom_site_fract_y
_atom_site_fract_z
Sc1 Sc 0.000 0.000 0.000
Sc2 Sc 0.250 0.250 0.250
Cu1 Cu 0.250 0.250 0.750
Pd1 Pd 0.000 0.000 0.500
```

---

3.
Entry from OQMD via LeMat-Bulk: a relaxed structure of Tm2Tl2O5 (PBE).

Output
energy above the most stable polymorph in this dataset: 0.0000 eV per atom
crystal system: tetragonal
calculated total energy: -6.4057 eV/atom
M_tot: 0.0 μB per cell

CIF file:
```
data_Tm2Tl2O5
_space_group_name_H-M_alt 'P 4/m m m'
_space_group_IT_number 123
_space_group_name_Hall '-P 4 2'
_cell_length_a 4.126
_cell_length_b 4.126
_cell_length_c 8.354
_cell_angle_alpha 90.00
_cell_angle_beta 90.00
_cell_angle_gamma 90.00
loop_
_atom_site_label
_atom_site_type_symbol
_atom_site_fract_x
_atom_site_fract_y
_atom_site_fract_z
Tm1 Tm 0.000 0.000 0.247
Tl1 Tl 0.500 0.500 0.000
Tl2 Tl 0.500 0.500 0.500
O1 O 0.000 0.000 0.500
O2 O 0.000 0.500 0.168
```

---

4.
Entry from OQMD via LeMat-Bulk: a relaxed structure of Dy3Er2LuBi2Os (PBE).

Output
crystal system: orthorhombic
calculated total energy: -5.7712 eV/atom
M_tot: 0.1 μB per cell

CIF file:
```
data_Dy3Er2LuBi2Os
_space_group_name_H-M_alt 'A m m 2'
_space_group_IT_number 38
_cell_length_a 4.234
_cell_length_b 14.241
_cell_length_c 8.259
_cell_angle_alpha 90.00
_cell_angle_beta 90.00
_cell_angle_gamma 90.00
loop_
_space_group_symop_operation_xyz
'x,y,z'
'-x,-y,z'
'-x,y,z'
'x,-y,z'
'x,y+1/2,z+1/2'
'-x,-y+1/2,z+1/2'
'-x,y+1/2,z+1/2'
'x,-y+1/2,z+1/2'
loop_
_atom_site_label
_atom_site_type_symbol
_atom_site_fract_x
_atom_site_fract_y
_atom_site_fract_z
Dy1 Dy 0.000 0.000 0.000
Dy2 Dy 0.000 0.193 0.582
Er1 Er 0.500 0.116 0.273
Lu1 Lu 0.500 0.000 0.619
Bi1 Bi 0.500 0.166 0.888
Os1 Os 0.000 0.000 0.393
```

---

5.
Entry from OQMD via LeMat-Bulk: a relaxed structure of SmHfNi (PBE).

Output
energy above the most stable polymorph in this dataset: 0.8543 eV per atom
crystal system: cubic
calculated total energy: -5.7751 eV/atom
M_tot: 0.0 μB per cell
formation enthalpy at 0 K: 970 meV per atom

CIF file:
```
data_SmHfNi
_space_group_name_H-M_alt 'F -4 3 m'
_space_group_IT_number 216
_space_group_name_Hall 'F -4 2 3'
_cell_length_a 6.453
_cell_length_b 6.453
_cell_length_c 6.453
_cell_angle_alpha 90.00
_cell_angle_beta 90.00
_cell_angle_gamma 90.00
loop_
_atom_site_label
_atom_site_type_symbol
_atom_site_fract_x
_atom_site_fract_y
_atom_site_fract_z
Sm1 Sm 0.000 0.000 0.000
Hf1 Hf 0.250 0.250 0.750
Ni1 Ni 0.250 0.250 0.250
```

---

6.
Entry from OQMD via LeMat-Bulk: a relaxed structure of Gd2ErAl5 (PBE).

Output
crystal system: orthorhombic
calculated total energy: -4.3846 eV/atom
M_tot: 0.0 μB per cell

CIF file:
```
data_Gd2ErAl5
_space_group_name_H-M_alt 'A m m 2'
_space_group_IT_number 38
_cell_length_a 4.773
_cell_length_b 6.676
_cell_length_c 10.999
_cell_angle_alpha 90.00
_cell_angle_beta 90.00
_cell_angle_gamma 90.00
loop_
_space_group_symop_operation_xyz
'x,y,z'
'-x,-y,z'
'-x,y,z'
'x,-y,z'
'x,y+1/2,z+1/2'
'-x,-y+1/2,z+1/2'
'-x,y+1/2,z+1/2'
'x,-y+1/2,z+1/2'
loop_
_atom_site_label
_atom_site_type_symbol
_atom_site_fract_x
_atom_site_fract_y
_atom_site_fract_z
Gd1 Gd 0.000 0.000 0.000
Gd2 Gd 0.500 0.000 0.304
Er1 Er 0.500 0.000 0.812
Al1 Al 0.000 0.000 0.506
Al2 Al 0.000 0.223 0.723
Al3 Al 0.500 0.214 0.567
```

---

7.
Entry from OQMD via LeMat-Bulk: a relaxed structure of LiReHgOs (PBE).

Output
energy above the most stable polymorph in this dataset: 0.6699 eV per atom
crystal system: cubic
calculated total energy: -5.3425 eV/atom
M_tot: 1.6 μB per cell

CIF file:
```
data_LiReHgOs
_space_group_name_H-M_alt 'F -4 3 m'
_space_group_IT_number 216
_space_group_name_Hall 'F -4 2 3'
_cell_length_a 6.240
_cell_length_b 6.240
_cell_length_c 6.240
_cell_angle_alpha 90.00
_cell_angle_beta 90.00
_cell_angle_gamma 90.00
loop_
_atom_site_label
_atom_site_type_symbol
_atom_site_fract_x
_atom_site_fract_y
_atom_site_fract_z
Li1 Li 0.000 0.000 0.000
Re1 Re 0.250 0.250 0.250
Hg1 Hg 0.000 0.000 0.500
Os1 Os 0.250 0.250 0.750
```

---

8.
Entry from OQMD via LeMat-Bulk: a relaxed structure of BeCdSnPt (PBE).

Output
energy above the most stable polymorph in this dataset: 0.0000 eV per atom
crystal system: cubic
calculated total energy: -3.4933 eV/atom
M_tot: 0.0 μB per cell

CIF file:
```
data_BeCdSnPt
_space_group_name_H-M_alt 'F -4 3 m'
_space_group_IT_number 216
_space_group_name_Hall 'F -4 2 3'
_cell_length_a 6.566
_cell_length_b 6.566
_cell_length_c 6.566
_cell_angle_alpha 90.00
_cell_angle_beta 90.00
_cell_angle_gamma 90.00
loop_
_atom_site_label
_atom_site_type_symbol
_atom_site_fract_x
_atom_site_fract_y
_atom_site_fract_z
Be1 Be 0.000 0.000 0.000
Cd1 Cd 0.250 0.250 0.250
Sn1 Sn 0.250 0.250 0.750
Pt1 Pt 0.000 0.000 0.500
```

---

9.
Entry from OQMD via LeMat-Bulk: a relaxed structure of ZnH14SO11 (PBE).

Output
crystal system: orthorhombic
calculated total energy: -5.0892 eV/atom

CIF file:
```
data_ZnH14SO11
_space_group_name_H-M_alt 'P 21 21 21'
_space_group_IT_number 19
_cell_length_a 6.548
_cell_length_b 11.486
_cell_length_c 11.626
_cell_angle_alpha 90.00
_cell_angle_beta 90.00
_cell_angle_gamma 90.00
loop_
_space_group_symop_operation_xyz
'x,y,z'
'-x+1/2,-y,z+1/2'
'x+1/2,-y+1/2,-z'
'-x,y+1/2,-z+1/2'
loop_
_atom_site_label
_atom_site_type_symbol
_atom_site_fract_x
_atom_site_fract_y
_atom_site_fract_z
Zn1 Zn 0.040 0.084 0.396
H1 H 0.002 0.896 0.524
H2 H 0.018 0.017 0.137
H3 H 0.029 0.638 0.882
H4 H 0.051 0.573 0.482
H5 H 0.082 0.907 0.998
H6 H 0.099 0.269 0.272
H7 H 0.141 0.768 0.198
H8 H 0.161 0.776 0.965
H9 H 0.181 0.425 0.731
H10 H 0.191 0.921 0.717
H11 H 0.195 0.874 0.445
H12 H 0.236 0.579 0.936
H13 H 0.244 0.051 0.745
H14 H 0.245 0.550 0.680
S1 S 0.002 0.227 0.831
O1 O 0.003 0.749 0.168
O2 O 0.025 0.357 0.830
O3 O 0.059 0.912 0.447
O4 O 0.069 0.503 0.432
O5 O 0.076 0.180 0.941
O6 O 0.115 0.631 0.951
O7 O 0.126 0.179 0.733
O8 O 0.183 0.861 0.953
O9 O 0.192 0.027 0.239
O10 O 0.214 0.696 0.686
O11 O 0.246 0.535 0.168
```

---

10.
Entry from OQMD via LeMat-Bulk: a relaxed structure of LiYBiIr (PBE).

Output
energy above the most stable polymorph in this dataset: 0.2630 eV per atom
crystal system: cubic
calculated total energy: -5.6258 eV/atom
M_tot: 0.0 μB per cell

CIF file:
```
data_LiYBiIr
_space_group_name_H-M_alt 'F -4 3 m'
_space_group_IT_number 216
_space_group_name_Hall 'F -4 2 3'
_cell_length_a 6.944
_cell_length_b 6.944
_cell_length_c 6.944
_cell_angle_alpha 90.00
_cell_angle_beta 90.00
_cell_angle_gamma 90.00
loop_
_atom_site_label
_atom_site_type_symbol
_atom_site_fract_x
_atom_site_fract_y
_atom_site_fract_z
Li1 Li 0.000 0.000 0.000
Y1 Y 0.000 0.000 0.500
Bi1 Bi 0.250 0.250 0.250
Ir1 Ir 0.250 0.250 0.750
```

---

11.
Entry from OQMD via LeMat-Bulk: a relaxed structure of UPaW (PBE).

Output
energy above the most stable polymorph in this dataset: 0.0000 eV per atom
crystal system: cubic
calculated total energy: -10.4183 eV/atom
M_tot: 0.5 μB per cell
formation enthalpy at 0 K: 832 meV per atom

CIF file:
```
data_UPaW
_space_group_name_H-M_alt 'F -4 3 m'
_space_group_IT_number 216
_space_group_name_Hall 'F -4 2 3'
_cell_length_a 6.488
_cell_length_b 6.488
_cell_length_c 6.488
_cell_angle_alpha 90.00
_cell_angle_beta 90.00
_cell_angle_gamma 90.00
loop_
_atom_site_label
_atom_site_type_symbol
_atom_site_fract_x
_atom_site_fract_y
_atom_site_fract_z
U1 U 0.000 0.000 0.000
Pa1 Pa 0.250 0.250 0.750
W1 W 0.250 0.250 0.250
```

---

12.
Entry from OQMD via LeMat-Bulk: a relaxed structure of Nd2Ge2O7 (PBE).

Output
crystal system: triclinic
calculated total energy: -7.3961 eV/atom
M_tot: 0.0 μB per cell

CIF file:
```
data_Nd2Ge2O7
_space_group_name_H-M_alt 'P 1'
_space_group_IT_number 1
_cell_length_a 6.829
_cell_length_b 6.973
_cell_length_c 7.000
_cell_angle_alpha 64.38
_cell_angle_beta 87.45
_cell_angle_gamma 88.55
loop_
_space_group_symop_operation_xyz
'x,y,z'
loop_
_atom_site_label
_atom_site_type_symbol
_atom_site_fract_x
_atom_site_fract_y
_atom_site_fract_z
Nd1 Nd 0.000 0.000 0.000
Nd2 Nd 0.059 0.510 0.484
Nd3 Nd 0.297 0.983 0.487
Nd4 Nd 0.570 0.424 0.843
Ge1 Ge 0.106 0.475 0.969
Ge2 Ge 0.464 0.867 0.031
Ge3 Ge 0.567 0.424 0.346
Ge4 Ge 0.801 0.992 0.501
O1 O 0.013 0.612 0.113
O2 O 0.248 0.609 0.726
O3 O 0.252 0.243 0.099
O4 O 0.288 0.959 0.840
O5 O 0.336 0.791 0.276
O6 O 0.345 0.326 0.481
O7 O 0.559 0.604 0.072
O8 O 0.616 0.821 0.650
O9 O 0.655 0.048 0.968
O10 O 0.662 0.204 0.297
O11 O 0.710 0.493 0.502
O12 O 0.919 0.381 0.860
O13 O 0.967 0.880 0.375
O14 O 0.971 0.106 0.606
```

---

13.
Entry from OQMD via LeMat-Bulk: a relaxed structure of Zr3U (PBE).

Output
energy above the most stable polymorph in this dataset: 0.0993 eV per atom
crystal system: orthorhombic
calculated total energy: -8.9854 eV/atom
M_tot: 4.0 μB per cell
formation enthalpy at 0 K: 249 meV per atom

CIF file:
```
data_Zr3U
_space_group_name_H-M_alt 'P m m n'
_space_group_IT_number 59
_cell_length_a 5.282
_cell_length_b 6.181
_cell_length_c 5.653
_cell_angle_alpha 90.00
_cell_angle_beta 90.00
_cell_angle_gamma 90.00
loop_
_space_group_symop_operation_xyz
'x,y,z'
'-x,-y,-z'
'-x+1/2,-y+1/2,z'
'x+1/2,y+1/2,-z'
'x+1/2,-y,-z'
'-x+1/2,y,z'
'-x,y+1/2,-z'
'x,-y+1/2,z'
loop_
_atom_site_label
_atom_site_type_symbol
_atom_site_fract_x
_atom_site_fract_y
_atom_site_fract_z
Zr1 Zr 0.250 0.007 0.136
Zr2 Zr 0.250 0.750 0.630
U1 U 0.250 0.250 0.626
```

---

14.
Entry from OQMD via LeMat-Bulk: a relaxed structure of RbZrAgSeS2 (PBE).

Output
energy above the most stable polymorph in this dataset: 0.0000 eV per atom
crystal system: monoclinic
calculated total energy: -5.1699 eV/atom
M_tot: 0.0 μB per cell

CIF file:
```
data_RbZrAgSeS2
_space_group_name_H-M_alt 'P 1 21/m 1'
_space_group_IT_number 11
_cell_length_a 8.567
_cell_length_b 3.911
_cell_length_c 10.015
_cell_angle_alpha 90.00
_cell_angle_beta 111.63
_cell_angle_gamma 90.00
loop_
_space_group_symop_operation_xyz
'x,y,z'
'-x,-y,-z'
'-x,y+1/2,-z'
'x,-y+1/2,z'
loop_
_atom_site_label
_atom_site_type_symbol
_atom_site_fract_x
_atom_site_fract_y
_atom_site_fract_z
Rb1 Rb 0.238 0.250 0.257
Zr1 Zr 0.316 0.750 0.847
Ag1 Ag 0.074 0.250 0.608
Se1 Se 0.269 0.750 0.567
S1 S 0.123 0.250 0.871
S2 S 0.466 0.750 0.128
```

---

15.
Entry from OQMD via LeMat-Bulk: a relaxed structure of Lu4Ta2Pb3N3 (PBE).

Output
crystal system: monoclinic
calculated total energy: -7.3224 eV/atom
M_tot: 0.0 μB per cell

CIF file:
```
data_Lu4Ta2Pb3N3
_space_group_name_H-M_alt 'C 1 2/c 1'
_space_group_IT_number 15
_cell_length_a 10.147
_cell_length_b 5.896
_cell_length_c 15.014
_cell_angle_alpha 90.00
_cell_angle_beta 102.78
_cell_angle_gamma 90.00
loop_
_space_group_symop_operation_xyz
'x,y,z'
'-x,-y,-z'
'-x,y,-z+1/2'
'x,-y,z+1/2'
'x+1/2,y+1/2,z'
'-x+1/2,-y+1/2,-z'
'-x+1/2,y+1/2,-z+1/2'
'x+1/2,-y+1/2,z+1/2'
loop_
_atom_site_label
_atom_site_type_symbol
_atom_site_fract_x
_atom_site_fract_y
_atom_site_fract_z
Lu1 Lu 0.112 0.082 0.086
Lu2 Lu 0.221 0.084 0.414
Ta1 Ta 0.058 0.418 0.927
Pb1 Pb 0.000 0.103 0.750
Pb2 Pb 0.157 0.425 0.249
N1 N 0.082 0.252 0.500
N2 N 0.250 0.250 0.000
```

---

16.
Entry from OQMD via LeMat-Bulk: a relaxed structure of Li2Mg2InSiPd2 (PBE).

Output
crystal system: tetragonal
calculated total energy: -3.7020 eV/atom

CIF file:
```
data_Li2Mg2InSiPd2
_space_group_name_H-M_alt 'P -4 m 2'
_space_group_IT_number 115
_cell_length_a 4.435
_cell_length_b 4.435
_cell_length_c 6.396
_cell_angle_alpha 90.00
_cell_angle_beta 90.00
_cell_angle_gamma 90.00
loop_
_space_group_symop_operation_xyz
'x,y,z'
'y,-x,-z'
'-x,-y,z'
'-y,x,-z'
'-x,y,z'
'-y,-x,-z'
'x,-y,z'
'y,x,-z'
loop_
_atom_site_label
_atom_site_type_symbol
_atom_site_fract_x
_atom_site_fract_y
_atom_site_fract_z
Li1 Li 0.000 0.500 0.229
Mg1 Mg 0.000 0.000 0.000
Mg2 Mg 0.500 0.500 0.500
In1 In 0.000 0.000 0.500
Si1 Si 0.500 0.500 0.000
Pd1 Pd 0.000 0.500 0.778
```

---

17.
Entry from OQMD via LeMat-Bulk: a relaxed structure of SmYSnCl2 (PBE).

Output
crystal system: trigonal
calculated total energy: -5.2788 eV/atom
M_tot: 0.0 μB per cell

CIF file:
```
data_SmYSnCl2
_space_group_name_H-M_alt 'P 3 m 1'
_space_group_IT_number 156
_cell_length_a 4.2366
_cell_length_b 4.2366
_cell_length_c 9.8726
_cell_angle_alpha 90.00
_cell_angle_beta 90.00
_cell_angle_gamma 120.00
loop_
_space_group_symop_operation_xyz
'x,y,z'
'-y,x-y,z'
'-x+y,-x,z'
'-y,-x,z'
'-x+y,y,z'
'x,x-y,z'
loop_
_atom_site_label
_atom_site_type_symbol
_atom_site_fract_x
_atom_site_fract_y
_atom_site_fract_z
Sm1 Sm 0.0000 0.0000 0.0000
Y1 Y 0.6667 0.3333 0.3699
Sn1 Sn 0.3333 0.6667 0.1882
Cl1 Cl 0.0000 0.0000 0.5184
Cl2 Cl 0.6667 0.3333 0.8457
```

---

18.
Entry from OQMD via LeMat-Bulk: a relaxed structure of PrAl2Ni (PBE).

Output
crystal system: orthorhombic
calculated total energy: -5.0389 eV/atom
M_tot: 0.0 μB per cell

CIF file:
```
data_PrAl2Ni
_space_group_name_H-M_alt 'C m c m'
_space_group_IT_number 63
_space_group_name_Hall '-C 2c 2'
_cell_length_a 4.077
_cell_length_b 10.995
_cell_length_c 6.931
_cell_angle_alpha 90.00
_cell_angle_beta 90.00
_cell_angle_gamma 90.00
loop_
_atom_site_label
_atom_site_type_symbol
_atom_site_fract_x
_atom_site_fract_y
_atom_site_fract_z
Pr1 Pr 0.000 0.054 0.250
Al1 Al 0.000 0.330 0.057
Ni1 Ni 0.000 0.219 0.750
```